Arrangement P

This record from the Alexandria database describes a geometry-optimized HfThBi2 structure. The functional is PBE.

Computed properties:
Symmetry: P4/mmm (123)

Geometry as extended XYZ:
```
4
Lattice="-3.6570 0.1041 0.8465 -0.6058 -2.9406 -2.2554 1.2417 -4.8253 5.9577" Properties=species:S:1:pos:R:3 pbc="T T T"
Bi 0.9637 -3.7449 4.6238
Bi 0.2780 -1.0803 1.3339
Th -1.5105 -3.8309 2.2744
Hf -2.1314 -1.4182 -0.7045
```


Arrangement Q

This record from the Alexandria database describes a geometry-optimized HfThBi2 structure. The functional is PBE.

Computed properties:
Symmetry: R-3m (166)

Geometry as extended XYZ:
```
4
Lattice="-0.7310 -0.3064 3.3313 -1.6896 -2.7533 1.1360 9.3693 -6.5535 3.2130" Properties=species:S:1:pos:R:3 pbc="T T T"
Th 3.4744 -4.8066 3.8402
Bi 6.7475 -5.1278 2.7689
Hf 0.0000 0.0000 0.0000
Bi 0.2012 -4.4854 4.9115
```


Pick arrangement P: it beats the second-best structure by 0.401 eV/atom.